Entry from Alexandria: an optimized crystal structure of Ge2HPd4 (PBE).

Output
M_tot: 0.00 μB/f.u.
VASP energy: -5.065 eV/atom
ρ: 9.5 Mg/m³

Unit cell a=5.8729 b=5.8729 c=7.7859 alpha=113.28 beta=113.28 gamma=56.75
Element x y z (fractional)
Ge: 0.0000 0.0000 0.0000
Ge: 0.3509 0.1417 0.9134
Ge: 0.5398 0.4602 0.5000
Ge: 0.8583 0.6491 0.0866
H: 0.1123 0.2995 0.5222
H: 0.7005 0.8877 0.4778
Pd: 0.0376 0.5665 0.4090
Pd: 0.3698 0.5504 0.1678
Pd: 0.4335 0.9624 0.5910
Pd: 0.4496 0.6302 0.8322
Pd: 0.4506 0.0290 0.2410
Pd: 0.8909 0.0784 0.6821
Pd: 0.9216 0.1091 0.3179
Pd: 0.9710 0.5494 0.7590